## TlFeOsPt (PBE-GGA)

Data for a geometry-optimized TlFeOsPt structure.

The structure in extended XYZ format:
```
4
Lattice="0.000 3.197 3.197 3.197 0.000 3.197 3.197 3.197 0.000" Properties=species:S:1:pos:R:3 pbc="T T T"
Fe 4.795 4.795 4.795
Os 3.197 3.197 3.197
Pt 1.598 1.598 1.598
Tl 0.000 0.000 0.000
```

Computed properties:
**Distance to the lowest polymorph of the same formula**: 0.000 eV/atom